NaGe2AsI | PBE | optimized geometry

a b c (Å): 5.458 4.894 5.458
angles (deg): 90.00 90.00 90.00
Positions (direct):
I: 0.500 0.500 0.500
Na: 0.000 0.000 0.000
As: 0.000 0.500 0.000
Ge: 0.000 0.000 0.500
Ge: 0.500 0.000 0.000

Output
- VASP energy (eV per atom) = -2.41
- density of states at the Fermi level (states/eV/f.u.) = 5.670
- space-group type = P4/mmm, No. 123



Dy2Se2S | PBE | optimized geometry

a b c (Å): 5.733 7.098 8.408
angles (deg): 110.73 90.00 113.82
Positions (direct):
Dy: 0.826 0.651 0.403
Dy: 0.173 0.347 0.594
Dy: 0.515 0.029 0.781
Dy: 0.484 0.969 0.215
Se: 0.335 0.671 0.425
Se: 0.664 0.328 0.571
Se: 0.987 0.974 0.258
Se: 0.012 0.024 0.738
S: 0.650 0.299 0.108
S: 0.349 0.699 0.888

Output
- energy above the most stable polymorph in this dataset (meV per atom) = 0
- density of states at the Fermi level (states/eV/f.u.) = 0.000
- space-group type = C2/m, No. 12



PmPr2Th | PBE | optimized geometry

a b c (Å): 5.176 5.169 5.169
angles (deg): 90.00 90.00 90.00
Positions (direct):
Pr: 0.000 0.000 0.500
Pr: 0.000 0.500 0.000
Th: 0.500 0.500 0.500
Pm: 0.500 0.000 0.000

Output
- energy above the most stable polymorph in this dataset (meV per atom) = 24
- energy of formation (kJ/mol of atoms) = 6
- density of states at the Fermi level (states/eV/f.u.) = 4.878
- space-group type = P4/mmm, No. 123



TaV2W8 | PBE | optimized geometry

a b c (Å): 7.740 5.445 5.300
angles (deg): 109.39 116.68 91.07
Positions (direct):
Ta: 0.000 0.000 0.000
V: 0.658 0.661 0.743
V: 0.342 0.339 0.257
W: 0.329 0.328 0.739
W: 0.663 0.177 0.744
W: 0.331 0.837 0.758
W: 0.669 0.163 0.242
W: 0.337 0.823 0.256
W: 0.671 0.672 0.261
W: 0.002 0.470 0.742
W: 0.998 0.530 0.258

Output
- energy of formation (kJ/mol of atoms) = 30
- density of states at the Fermi level (states/eV/f.u.) = 8.687
- space-group type = P-1, No. 2



P3HPt | PBE | optimized geometry

a b c (Å): 3.968 3.968 3.968
angles (deg): 90.00 90.00 90.00
Positions (direct):
P: 0.000 0.500 0.000
P: 0.000 0.000 0.500
P: 0.500 0.000 0.000
Pt: 0.500 0.500 0.500
H: 0.000 0.000 0.000

Output
- energy above the most stable polymorph in this dataset (meV per atom) = 0
- density of states at the Fermi level (states/eV/f.u.) = 2.355
- space-group type = Pm-3m, No. 221



MgAl2VH | PBE | optimized geometry

a b c (Å): 5.027 3.271 5.027
angles (deg): 90.00 90.00 90.00
Positions (direct):
H: 0.000 0.500 0.000
Mg: 0.500 0.500 0.500
Al: 0.000 0.000 0.500
Al: 0.500 0.000 0.000
V: 0.000 0.000 0.000

Output
- VASP energy (eV per atom) = -3.86
- density of states at the Fermi level (states/eV/f.u.) = 3.285
- space-group type = P4/mmm, No. 123



Question: Among the records above, which one has the lowest density of states at the Fermi level?
Answer: Dy2Se2S



Question: The highest density of states at the Fermi level belongs to which entry?
Answer: TaV2W8



Question: Which of these has the lowest density of states at the Fermi level?
Answer: Dy2Se2S



Repeat the third record exactly.
PmPr2Th | PBE | optimized geometry

a b c (Å): 5.176 5.169 5.169
angles (deg): 90.00 90.00 90.00
Positions (direct):
Pr: 0.000 0.000 0.500
Pr: 0.000 0.500 0.000
Th: 0.500 0.500 0.500
Pm: 0.500 0.000 0.000

Output
- energy above the most stable polymorph in this dataset (meV per atom) = 24
- energy of formation (kJ/mol of atoms) = 6
- density of states at the Fermi level (states/eV/f.u.) = 4.878
- space-group type = P4/mmm, No. 123